[1]
{
  "formula": "K4TaSi",
  "functional": "PBEsol",
  "state": "optimized geometry",
  "e_form_raw_ev_per_atom": 1.421,
  "vol_a3_per_atom": 31.77,
  "total_energy_ev_per_atom": -2.3837,
  "lattice_angstrom": [[6.460, 0.000, 0.000], [3.230, 5.595, 0.000], [3.230, 1.865, 5.275]],
  "species": ["Ta", "Si", "K", "K", "K", "K"],
  "fractional_positions": [[0.000, 0.000, 0.000], [0.750, 0.750, 0.750], [0.376, 0.376, 0.376], [0.376, 0.872, 0.376], [0.376, 0.376, 0.872], [0.872, 0.376, 0.376]]
}


[2]
{
  "formula": "Co2PbW",
  "functional": "PBEsol",
  "state": "optimized geometry",
  "ef_ev_per_fu": 2.2,
  "vol_a3_per_atom": 15.41,
  "total_energy_ev_per_atom": -7.7772,
  "lattice_angstrom": [[3.140, 0.000, 0.000], [-1.570, 3.962, -0.036], [0.000, -1.066, 4.963]],
  "species": ["W", "Co", "Pb", "Co"],
  "fractional_positions": [[0.000, 0.000, 0.500], [0.730, 0.460, 0.681], [0.500, 0.000, 0.000], [0.270, 0.540, 0.319]]
}


[3]
{
  "formula": "Tm2OsRh",
  "functional": "PBEsol",
  "state": "optimized geometry",
  "ef_ev_per_fu": -2.2,
  "vol_a3_per_atom": 18.23,
  "total_energy_ev_per_atom": -8.0929,
  "lattice_angstrom": [[-4.658, 0.277, 0.463], [-2.391, -3.593, 1.833], [-1.914, 0.389, 4.263]],
  "species": ["Rh", "Tm", "Tm", "Os"],
  "fractional_positions": [[0.000, 0.000, 0.000], [0.750, 0.750, 0.750], [0.250, 0.250, 0.250], [0.500, 0.500, 0.500]]
}


[4]
{
  "formula": "La2Al",
  "functional": "PBEsol",
  "state": "optimized geometry",
  "ef_ev_per_fu": -0.6,
  "vol_a3_per_atom": 29.82,
  "total_energy_ev_per_atom": -5.1340,
  "lattice_angstrom": [[4.524, 0.000, 0.000], [0.000, 8.277, 0.000], [0.000, -4.139, 7.168]],
  "species": ["La", "Al", "La", "Al", "La", "La", "Al", "La", "La"],
  "fractional_positions": [[0.000, 0.731, 0.731], [0.000, 0.667, 0.333], [0.500, 0.411, 0.411], [0.000, 0.333, 0.667], [0.000, 0.269, 0.000], [0.500, 0.589, 0.000], [0.500, 0.000, 0.000], [0.000, 0.000, 0.269], [0.500, 0.000, 0.589]]
}


What is the formula in the third record?
Tm2OsRh


What is the formula in the first record?
K4TaSi